No. 1
The following is a DFT calculation (PBE) of a relaxed structure of MgGaTcW.

Calculated values
As for the space-group type: No. 216. As for the energy relative to the elements: 0.055 eV/atom. Its density of states at the Fermi level is 0.76 states/eV per cell.

Geometry as POSCAR:
```
MgGaTcW
1.0
4.437 0.000 0.000
2.218 3.842 0.000
2.218 1.281 3.623
Mg Ga Tc W
1 1 1 1
Direct
0.250 0.250 0.250 Mg
0.000 0.000 0.000 Ga
0.500 0.500 0.500 Tc
0.750 0.750 0.750 W
```

***

No. 2
The following is a DFT calculation (PBE) of a relaxed structure of La3TmHg.

Calculated values
As for the space-group type: No. 12. As for the energy relative to the elements: -0.084 eV/atom. The energy relative to the lowest polymorph listed for this composition is 0.015 eV per atom. Its density of states at the Fermi level is 15.61 states/eV per cell.

Geometry as POSCAR:
```
La3TmHg
1.0
3.597 0.000 -0.637
-0.243 8.266 -1.373
0.172 -1.246 11.454
La Tm Hg
6 2 2
Direct
0.014 0.250 0.029 La
0.986 0.750 0.971 La
0.378 0.963 0.756 La
0.622 0.037 0.244 La
0.176 0.456 0.351 La
0.824 0.544 0.649 La
0.736 0.825 0.473 Tm
0.264 0.175 0.527 Tm
0.585 0.617 0.169 Hg
0.415 0.383 0.831 Hg
```

***

No. 3
The following is a DFT calculation (PBE) of a relaxed structure of Li2FeSN.

Calculated values
As for the space-group type: No. 123. The calculation puts the uncorrected formation energy at 0.820 eV per atom. Its density of states at the Fermi level is 5.18 states/eV per cell.

Geometry as POSCAR:
```
Li2FeSN
1.0
-3.717 2.814 0.842
-0.477 -1.564 3.122
2.867 3.179 2.031
S Li Fe N
1 2 1 1
Direct
0.000 0.000 0.000 S
0.000 0.000 0.500 Li
0.500 0.000 0.000 Li
0.500 0.500 0.500 Fe
0.000 0.500 0.000 N
```

***

No. 4
The following is a DFT calculation (PBE) of a relaxed structure of CeAl2ZnAu2.

Calculated values
As for the space-group type: No. 164. As for the energy relative to the elements: -0.495 eV/atom. Its density of states at the Fermi level is 6.78 states/eV per cell.

Geometry as POSCAR:
```
CeAl2ZnAu2
1.0
-2.959 1.795 2.786
-1.187 -0.990 -4.165
-1.907 -6.321 2.046
Ce Al Zn Au
1 2 1 2
Direct
0.000 0.000 0.000 Ce
0.667 0.333 0.691 Al
0.333 0.667 0.309 Al
0.000 0.000 0.500 Zn
0.667 0.333 0.282 Au
0.333 0.667 0.718 Au
```

***

No. 5
The following is a DFT calculation (PBE) of a relaxed structure of Er2Cd2Cu15.

Calculated values
As for the space-group type: No. 166. As for the energy relative to the elements: -0.103 eV/atom. Its density of states at the Fermi level is 7.51 states/eV per cell.

Geometry as POSCAR:
```
Er2Cd2Cu15
1.0
6.577 -0.029 -0.026
0.825 6.525 -0.026
0.825 0.724 6.485
Er Cd Cu
2 2 15
Direct
0.354 0.354 0.354 Er
0.646 0.646 0.646 Er
0.107 0.107 0.107 Cd
0.893 0.893 0.893 Cd
0.500 0.000 0.000 Cu
0.000 0.000 0.500 Cu
0.000 0.500 0.000 Cu
0.000 0.692 0.308 Cu
0.692 0.308 0.000 Cu
0.308 0.000 0.692 Cu
0.308 0.692 0.000 Cu
0.692 0.000 0.308 Cu
0.000 0.308 0.692 Cu
0.163 0.650 0.650 Cu
0.650 0.650 0.163 Cu
0.650 0.163 0.650 Cu
0.837 0.350 0.350 Cu
0.350 0.350 0.837 Cu
0.350 0.837 0.350 Cu
```

***

No. 6
The following is a DFT calculation (PBE) of a relaxed structure of Th2ZnGe3Pd4.

Calculated values
As for the space-group type: No. 115. As for the energy relative to the elements: -0.779 eV/atom. Its density of states at the Fermi level is 7.36 states/eV per cell.

Geometry as POSCAR:
```
Th2ZnGe3Pd4
1.0
4.338 0.000 0.000
0.000 4.338 0.000
0.000 0.000 10.189
Th Zn Ge Pd
2 1 3 4
Direct
0.500 0.000 0.245 Th
0.000 0.500 0.755 Th
0.500 0.500 0.500 Zn
0.000 0.000 0.500 Ge
0.500 0.000 0.867 Ge
0.000 0.500 0.133 Ge
0.500 0.500 0.000 Pd
0.000 0.000 0.000 Pd
0.500 0.000 0.627 Pd
0.000 0.500 0.373 Pd
```

***

No. 7
The following is a DFT calculation (PBE) of a relaxed structure of Li2AcTl2Ag2.

Calculated values
As for the space-group type: No. 166. As for the energy relative to the elements: -0.199 eV/atom. Its density of states at the Fermi level is 4.66 states/eV per cell.

Geometry as POSCAR:
```
Li2AcTl2Ag2
1.0
-0.141 0.885 4.659
-3.275 -2.101 2.716
4.288 -7.027 3.880
Li Ac Tl Ag
2 1 2 2
Direct
0.143 0.143 0.570 Li
0.857 0.857 0.430 Li
0.000 0.000 0.000 Ac
0.746 0.746 0.763 Tl
0.254 0.254 0.237 Tl
0.555 0.555 0.335 Ag
0.445 0.445 0.665 Ag
```

***

No. 8
The following is a DFT calculation (PBE) of a relaxed structure of Pm4YTm10.

Calculated values
As for the space-group type: No. 87. As for the energy relative to the elements: 0.768 eV/atom. Its density of states at the Fermi level is 22.31 states/eV per cell.

Geometry as POSCAR:
```
Pm4YTm10
1.0
-6.716 3.667 0.317
-6.996 -4.433 -4.439
-5.300 -2.349 7.396
Pm Y Tm
4 1 10
Direct
0.399 0.801 0.400 Pm
0.799 0.600 0.801 Pm
0.201 0.400 0.199 Pm
0.601 0.199 0.600 Pm
0.000 0.000 0.000 Y
0.250 0.500 0.500 Tm
0.652 0.299 0.899 Tm
0.049 0.101 0.299 Tm
0.449 0.899 0.701 Tm
0.850 0.701 0.101 Tm
0.348 0.701 0.101 Tm
0.750 0.500 0.500 Tm
0.150 0.299 0.899 Tm
0.551 0.101 0.299 Tm
0.951 0.899 0.701 Tm
```